Entry from the Alexandria database: Np2PaP4 after structural relaxation (PBE).

The value obtained for the calculated formation energy is -0.7449 eV/atom.

Geometry as CIF:
```
data_Np2PaP4
_chemical_formula_sum 'Np8 Pa4 P16'
_cell_length_a 4.0669
_cell_length_b 13.2813
_cell_length_c 11.3401
_cell_angle_alpha 90.00
_cell_angle_beta 90.00
_cell_angle_gamma 90.00
_symmetry_space_group_name_H-M 'C m c m'
_symmetry_Int_Tables_number 63
_symmetry_space_group_name_Hall '-C 2c 2'
loop_
_atom_site_label
_atom_site_fract_x
_atom_site_fract_y
_atom_site_fract_z
_atom_site_occupancy
Np1 0.0000 0.1338 0.0588 1
Pa1 0.0000 0.3937 0.2500 1
P1 0.0000 0.0241 0.2500 1
P2 0.0000 0.2378 0.6499 1
P3 0.0000 0.5000 0.0000 1
```

---

Entry from the Alexandria database: GeTeW after structural relaxation (PBE).

As for the offset from the most stable computed form: 8 meV per atom. The value obtained for the uncorrected formation energy is 20.5 kJ per mole of atoms.

Geometry as CIF:
```
data_GeTeW
_chemical_formula_sum 'Ge4 Te4 W4'
_cell_length_a 13.2757
_cell_length_b 3.2484
_cell_length_c 6.3739
_cell_angle_alpha 90.00
_cell_angle_beta 111.42
_cell_angle_gamma 90.00
_symmetry_space_group_name_H-M 'C 1 2/m 1'
_symmetry_Int_Tables_number 12
loop_
_symmetry_equiv_pos_as_xyz
'x,y,z'
'-x,-y,-z'
'-x,y,-z'
'x,-y,z'
'x+1/2,y+1/2,z'
'-x+1/2,-y+1/2,-z'
'-x+1/2,y+1/2,-z'
'x+1/2,-y+1/2,z'
loop_
_atom_site_label
_atom_site_fract_x
_atom_site_fract_y
_atom_site_fract_z
_atom_site_occupancy
Ge1 0.0900 0.0000 0.4737 1
Te1 0.1258 0.5000 0.9656 1
W1 0.2476 0.5000 0.6811 1
```

---

Entry from the Alexandria database: K2CrS after structural relaxation (PBE).

The value obtained for the uncorrected formation energy is -18.8 kJ per mole of atoms.

Geometry as CIF:
```
data_K2CrS
_chemical_formula_sum 'K8 Cr4 S4'
_cell_length_a 12.1880
_cell_length_b 12.1880
_cell_length_c 4.6346
_cell_angle_alpha 90.00
_cell_angle_beta 90.00
_cell_angle_gamma 90.00
_symmetry_space_group_name_H-M 'I -4 2 d'
_symmetry_Int_Tables_number 122
_symmetry_space_group_name_Hall 'I -4 2bw'
loop_
_atom_site_label
_atom_site_fract_x
_atom_site_fract_y
_atom_site_fract_z
_atom_site_occupancy
K1 0.0676 0.7500 0.1250 1
Cr1 0.0000 0.0000 0.5000 1
S1 0.0000 0.0000 0.0000 1
```

---

Entry from the Alexandria database: FeHg3Rh after structural relaxation (PBE).

As for the offset from the most stable computed form: 0 meV per atom. The value obtained for the calculated formation energy is 0.8995 eV/atom.

Geometry as CIF:
```
data_FeHg3Rh
_chemical_formula_sum 'Fe1 Hg3 Rh1'
_cell_length_a 5.1945
_cell_length_b 5.1945
_cell_length_c 5.1945
_cell_angle_alpha 90.00
_cell_angle_beta 90.00
_cell_angle_gamma 90.00
_symmetry_space_group_name_H-M 'P m -3 m'
_symmetry_Int_Tables_number 221
_symmetry_space_group_name_Hall '-P 4 2 3'
loop_
_atom_site_label
_atom_site_fract_x
_atom_site_fract_y
_atom_site_fract_z
_atom_site_occupancy
Fe1 0.0000 0.0000 0.0000 1
Hg1 0.0000 0.5000 0.5000 1
Rh1 0.5000 0.5000 0.5000 1
```

---

Entry from the Alexandria database: BaLiVCl6 after structural relaxation (PBE).

The value obtained for the uncorrected formation energy is -169.6 kJ per mole of atoms.

Geometry as CIF:
```
data_BaLiVCl6
_chemical_formula_sum 'Ba1 Li1 V1 Cl6'
_cell_length_a 6.5532
_cell_length_b 6.5532
_cell_length_c 6.6110
_cell_angle_alpha 90.00
_cell_angle_beta 90.00
_cell_angle_gamma 120.00
_symmetry_space_group_name_H-M 'P 3 1 2'
_symmetry_Int_Tables_number 149
loop_
_symmetry_equiv_pos_as_xyz
'x,y,z'
'-y,x-y,z'
'-x+y,-x,z'
'-y,-x,-z'
'-x+y,y,-z'
'x,x-y,-z'
loop_
_atom_site_label
_atom_site_fract_x
_atom_site_fract_y
_atom_site_fract_z
_atom_site_occupancy
Ba1 0.0000 0.0000 0.0000 1
Li1 0.3333 0.6667 0.5000 1
V1 0.6667 0.3333 0.5000 1
Cl1 0.3827 0.0205 0.7094 1
```

---

Entry from the Alexandria database: RbLa2AgBr8 after structural relaxation (PBE).

The value obtained for the uncorrected formation energy is -158.2 kJ per mole of atoms.

Geometry as CIF:
```
data_RbLa2AgBr8
_chemical_formula_sum 'Rb1 La2 Ag1 Br8'
_cell_length_a 7.1705
_cell_length_b 9.2070
_cell_length_c 7.3328
_cell_angle_alpha 90.00
_cell_angle_beta 96.19
_cell_angle_gamma 90.00
_symmetry_space_group_name_H-M 'P 1 2/m 1'
_symmetry_Int_Tables_number 10
loop_
_symmetry_equiv_pos_as_xyz
'x,y,z'
'-x,-y,-z'
'-x,y,-z'
'x,-y,z'
loop_
_atom_site_label
_atom_site_fract_x
_atom_site_fract_y
_atom_site_fract_z
_atom_site_occupancy
Rb1 0.0000 0.0000 0.0000 1
La1 0.5000 0.2588 0.5000 1
Ag1 0.0000 0.5000 0.0000 1
Br1 0.2460 0.2857 0.1658 1
Br2 0.2811 0.5000 0.6457 1
Br3 0.2895 0.0000 0.6320 1
```

---

Results for V: 612.5; 255.9; 688.4; 140.2; 245.9; 481.3 (in Å³/cell, following the order of the records).